12
Lattice="-0.220 5.529 3.943 -5.990 3.204 -0.151 1.920 -6.448 0.955" Properties=species:S:1:pos:R:3 comment="Cd2MoWO8 (PBE with a Hubbard U, relaxed)" final_energy_ev_per_atom=-6.203 density_g_cm3=6.66 pbc="T T T"
Cd -3.105 4.367 1.896
O 0.588 -2.535 1.257
Cd -0.703 1.724 3.397
O -3.042 6.067 3.627
Mo 0.000 0.000 0.000
O -4.590 3.788 3.779
O -2.857 1.979 2.257
O -0.787 0.026 1.633
O -2.281 -3.378 1.063
O -0.923 4.136 3.021
W -3.587 0.562 1.350
O -3.269 -0.939 2.355